# 1
Compound: LaPmPr6Ho2
Source: Alexandria
Functional: PBE
Structure: relaxed

Output
DFT formation energy: 2.51 kcal/mol of atoms
Total DFT energy (no corrections): -4.64 eV per atom

Cell lengths 9.401, 15.416, 9.890 Å; angles 90.00, 98.14, 90.00 degrees
Space group C2/c (No. 15)
One atom of each set of equivalent atoms:
La1 0.000 0.094 0.250 x4
Pm1 0.000 0.469 0.750 x4
Pr1 0.067 0.325 0.444 x8
Pr2 0.096 0.107 0.620 x8
Pr3 0.209 0.274 0.818 x8
Ho1 0.243 0.452 0.047 x8

# 2
Compound: TePbI
Source: Alexandria
Functional: PBE
Structure: relaxed

Output
E_form (uncorrected): -0.14 eV per atom
ΔE to the lowest computed polymorph: 0.621 eV per formula unit
Total DFT energy (no corrections): -2.94 eV per atom

Cell lengths 4.435, 4.435, 11.613 Å; angles 90.00, 90.00, 90.00 degrees
Space group I4mm (No. 107)
One atom of each set of equivalent atoms:
Te1 0.000 0.000 0.000 x2
Pb1 0.000 0.000 0.438 x2
I1 0.000 0.000 0.711 x2

# 3
Compound: LaPm2Te4
Source: Alexandria
Functional: PBE
Structure: relaxed

Output
E_form (uncorrected): -1.51 eV per atom
ΔE to the lowest computed polymorph: 0.000 eV per formula unit
Total DFT energy (no corrections): -5.36 eV per atom

Cell lengths 8.980, 9.097, 12.592 Å; angles 90.00, 90.00, 90.00 degrees
Space group Imma (No. 74)
One atom of each set of equivalent atoms:
La1 0.000 0.000 0.000 x4
Pm1 0.000 0.000 0.500 x4
Pm2 0.250 0.250 0.250 x4
Te1 0.000 0.003 0.252 x8
Te2 0.245 0.250 0.505 x8

Which of these has the highest total DFT energy (no corrections)? TePbI